(1)
Below is a geometry-optimized YIn2Os structure, with properties calculated at the PBE-GGA level.

Cell lengths 4.1952, 4.1952, 10.9350 Å; angles 78.94, 78.94, 90.00 degrees
Positions (direct):
1 Y 0.5000 0.5000 0.0000
2 Y 0.2500 0.7500 0.5000
3 Os 0.0000 0.0000 0.0000
4 Os 0.7500 0.2500 0.5000
5 In 0.6456 0.1250 0.2500
6 In 0.1044 0.6250 0.2500
7 In 0.3750 0.3544 0.7500
8 In 0.8750 0.8956 0.7500

Summary:
The value obtained for the mass density is 9.1 g/cm³. The value obtained for the calculated volume is 185.23 Å³ per cell. The electronic total energy is -5.51 eV per atom. Its space group is I-42d (122).

(2)
Below is a geometry-optimized Pa2Fe3B12Ru structure, with properties calculated at the PBE-GGA level.

Cell lengths 8.1039, 8.1039, 8.1039 Å; angles 39.65, 39.65, 39.65 degrees
Each line ends with the local moment (μB).
Positions (direct):
1 Pa 0.6385 0.6385 0.6385  0.16
2 Pa 0.3615 0.3615 0.3615  0.16
3 Fe 0.5000 0.0000 0.0000  2.05
4 Fe 0.0000 0.5000 0.0000  2.05
5 Fe 0.0000 0.0000 0.5000  2.05
6 B 0.3459 0.3459 0.0238  -0.01
7 B 0.9397 0.9397 0.3409  -0.01
8 B 0.3409 0.9397 0.9397  -0.01
9 B 0.0238 0.3459 0.3459  -0.01
10 B 0.9397 0.3409 0.9397  -0.01
11 B 0.3459 0.0238 0.3459  -0.01
12 B 0.6541 0.6541 0.9762  -0.01
13 B 0.0603 0.0603 0.6591  -0.01
14 B 0.6591 0.0603 0.0603  -0.01
15 B 0.9762 0.6541 0.6541  -0.01
16 B 0.0603 0.6591 0.0603  -0.01
17 B 0.6541 0.9762 0.6541  -0.01
18 Ru 0.0000 0.0000 0.0000  0.01

Summary:
The value obtained for the mass density is 7.3 g/cm³. The value obtained for the calculated volume is 195.10 Å³ per cell. The electronic total energy is -7.42 eV per atom. Its space group is R-3m (166).

(3)
Below is a geometry-optimized Tb3SeCl7 structure, with properties calculated at the PBE-GGA level.

Cell lengths 8.1393, 8.1423, 7.8503 Å; angles 74.79, 58.77, 60.01 degrees
Positions (direct):
1 Tb 0.0620 0.2628 0.6131
2 Tb 0.5784 0.7481 0.6099
3 Tb 0.0636 0.7481 0.6099
4 Se 0.7821 0.5865 0.8492
5 Cl 0.3463 0.9220 0.3853
6 Cl 0.2917 0.6081 0.8085
7 Cl 0.8571 0.8966 0.3892
8 Cl 0.2915 0.0735 0.8106
9 Cl 0.8244 0.0735 0.8106
10 Cl 0.3203 0.4316 0.3912
11 Cl 0.8569 0.4316 0.3912

Summary:
The uncorrected formation energy comes out at -2.20 eV per atom. The value obtained for the mass density is 3.5 g/cm³. The value obtained for the calculated volume is 385.33 Å³ per cell. The electronic total energy is -4.95 eV per atom. Its space group is Cm (8).

(4)
Below is a geometry-optimized SiNi2C structure, with properties calculated at the PBE-GGA level.

Cell lengths 3.8258, 3.8258, 3.8258 Å; angles 60.00, 60.00, 60.00 degrees
Positions (direct):
1 Ni 0.2500 0.2500 0.2500
2 Ni 0.7500 0.7500 0.7500
3 Si 0.5000 0.5000 0.5000
4 C 0.0000 0.0000 0.0000

Summary:
The uncorrected formation energy comes out at 0.72 eV per atom. The value obtained for the mass density is 6.6 g/cm³. The value obtained for the calculated volume is 39.59 Å³ per cell. The energy above the most stable polymorph in this dataset is 0.271 eV per atom. The electronic total energy is -5.83 eV per atom. Its space group is Fm-3m (225).

(5)
Below is a geometry-optimized VMoHRu2 structure, with properties calculated at the PBE-GGA level.

Cell lengths 3.9072, 3.9072, 3.8724 Å; angles 90.00, 90.00, 90.00 degrees
Positions (direct):
1 Ru 0.0000 0.5000 0.0000
2 Ru 0.5000 0.0000 0.0000
3 Mo 0.5000 0.5000 0.5000
4 H 0.0000 0.0000 0.0000
5 V 0.0000 0.0000 0.5000

Summary:
The value obtained for the mass density is 9.8 g/cm³. The value obtained for the calculated volume is 59.12 Å³ per cell. The energy above the most stable polymorph in this dataset is 0.000 eV per atom. The electronic total energy is -8.41 eV per atom. Its space group is P4/mmm (123).

(6)
Below is a geometry-optimized KLiRe2 structure, with properties calculated at the PBE-GGA level.

Cell lengths 2.5912, 5.5063, 5.1491 Å; angles 90.00, 90.00, 90.00 degrees
Positions (direct):
1 K 0.5000 0.5000 0.2500
2 Li 0.5000 0.5000 0.7500
3 Re 0.0000 0.0000 0.0002
4 Re 0.0000 0.0000 0.4998

Summary:
The value obtained for the mass density is 9.5 g/cm³. The value obtained for the calculated volume is 73.47 Å³ per cell. The energy above the most stable polymorph in this dataset is 0.481 eV per atom. The electronic total energy is -5.88 eV per atom. Its space group is Pmmm (47).

(7)
Below is a geometry-optimized Mn2InCl structure, with properties calculated at the PBE-GGA level.

Cell lengths 8.2959, 8.2959, 8.2959 Å; angles 22.99, 22.99, 22.99 degrees
Each line ends with the local moment (μB).
Positions (direct):
1 Cl 0.2500 0.2500 0.2500  0.07
2 Mn 0.9951 0.9951 0.9951  3.93
3 Mn 0.5049 0.5049 0.5049  3.93
4 In 0.7500 0.7500 0.7500  -0.04

Summary:
The uncorrected formation energy comes out at 0.11 eV per atom. The value obtained for the mass density is 5.7 g/cm³. The value obtained for the calculated volume is 76.41 Å³ per cell. The energy above the most stable polymorph in this dataset is 0.072 eV per atom. The electronic total energy is -5.62 eV per atom. Its space group is R-3m (166).

(8)
Below is a geometry-optimized BaMg4Ag2Au structure, with properties calculated at the PBE-GGA level.

Cell lengths 4.7284, 4.7284, 10.6359 Å; angles 77.16, 77.16, 60.00 degrees
Positions (direct):
1 Ba 0.0000 0.0000 0.0000
2 Mg 0.4130 0.4130 0.7610
3 Mg 0.8620 0.8620 0.4140
4 Mg 0.1380 0.1380 0.5860
5 Mg 0.5870 0.5870 0.2390
6 Ag 0.7570 0.7570 0.7289
7 Ag 0.2430 0.2430 0.2711
8 Au 0.5000 0.5000 0.5000

Summary:
The value obtained for the mass density is 5.4 g/cm³. The value obtained for the calculated volume is 199.04 Å³ per cell. The electronic total energy is -2.43 eV per atom. Its space group is R-3m (166).